A plane-wave DFT calculation with PBE was carried out for a relaxed V3CuW crystal.

a b c (Å): 4.5825 4.5825 4.5825
angles (deg): 90.00 90.00 90.00
Closest atoms and distances in Å follow each position.
Positions (direct):
V 0.0000 0.0000 0.5000  2 W 2.29
V 0.0000 0.5000 0.0000  2 W 2.29
V 0.5000 0.0000 0.0000  2 W 2.29
Cu 0.5000 0.5000 0.5000  12 V 3.24
W 0.0000 0.0000 0.0000  6 V 2.29

Its formation energy is 1549 meV/atom. The value obtained for the total energy is -0.5389 Ry/atom. The magnetic moment comes out at 1.13 μB/f.u.

---

A plane-wave DFT calculation with PBE was carried out for a relaxed VCuW3 crystal.

a b c (Å): 4.5093 4.5093 4.5093
angles (deg): 90.00 90.00 90.00
Closest atoms and distances in Å follow each position.
Positions (direct):
V 0.0000 0.0000 0.0000  6 W 2.25
Cu 0.5000 0.5000 0.5000  12 W 3.19
W 0.0000 0.0000 0.5000  2 V 2.25
W 0.0000 0.5000 0.0000  2 V 2.25
W 0.5000 0.0000 0.0000  2 V 2.25

Its formation energy is 1780 meV/atom. The value obtained for the total energy is -0.6346 Ry/atom. The magnetic moment comes out at 0.00 μB/f.u.

---

A plane-wave DFT calculation with PBE was carried out for a relaxed VCu3W crystal.

a b c (Å): 4.3253 4.3253 4.3253
angles (deg): 90.00 90.00 90.00
Closest atoms and distances in Å follow each position.
Positions (direct):
V 0.0000 0.0000 0.0000  6 Cu 2.16
Cu 0.0000 0.0000 0.5000  2 V 2.16
Cu 0.0000 0.5000 0.0000  2 V 2.16
Cu 0.5000 0.0000 0.0000  2 V 2.16
W 0.5000 0.5000 0.5000  12 Cu 3.06

Its formation energy is 1738 meV/atom. The value obtained for the total energy is -0.3774 Ry/atom. The magnetic moment comes out at 1.79 μB/f.u.

---

A plane-wave DFT calculation with PBE was carried out for a relaxed VCuW3 crystal.

a b c (Å): 4.4789 4.4789 4.4789
angles (deg): 90.00 90.00 90.00
Closest atoms and distances in Å follow each position.
Positions (direct):
V 0.0000 0.0000 0.0000  12 W 3.17
Cu 0.5000 0.5000 0.5000  6 W 2.24
W 0.0000 0.5000 0.5000  2 Cu 2.24
W 0.5000 0.0000 0.5000  2 Cu 2.24
W 0.5000 0.5000 0.0000  2 Cu 2.24

Its formation energy is 1902 meV/atom. The value obtained for the total energy is -0.6257 Ry/atom. The magnetic moment comes out at 0.54 μB/f.u.

---

Please write out number 4 again, unchanged.
A plane-wave DFT calculation with PBE was carried out for a relaxed VCuW3 crystal.

a b c (Å): 4.4789 4.4789 4.4789
angles (deg): 90.00 90.00 90.00
Closest atoms and distances in Å follow each position.
Positions (direct):
V 0.0000 0.0000 0.0000  12 W 3.17
Cu 0.5000 0.5000 0.5000  6 W 2.24
W 0.0000 0.5000 0.5000  2 Cu 2.24
W 0.5000 0.0000 0.5000  2 Cu 2.24
W 0.5000 0.5000 0.0000  2 Cu 2.24

Its formation energy is 1902 meV/atom. The value obtained for the total energy is -0.6257 Ry/atom. The magnetic moment comes out at 0.54 μB/f.u.

---

Which of these has the highest formation energy?
number 4